A plane-wave DFT calculation with PBE-GGA was carried out for Ho4Sc3Rh2 after structural relaxation.

abc: 8.256 8.256 8.349
angles: 111.74 111.74 25.41
Fractional coordinates of all 9 atoms:
Ho: 0.116 0.116 0.379
Ho: 0.269 0.269 0.834
Ho: 0.731 0.731 0.166
Ho: 0.884 0.884 0.621
Sc: 0.428 0.428 0.314
Sc: 0.500 0.500 0.000
Sc: 0.572 0.572 0.686
Rh: 0.116 0.116 0.937
Rh: 0.884 0.884 0.063

=====

A plane-wave DFT calculation with PBE-GGA was carried out for Tb8Pm2Nd3 after structural relaxation.

abc: 10.950 10.950 5.672
angles: 90.03 90.03 41.26
Fractional coordinates of all 13 atoms:
Tb: 0.102 0.683 0.000
Tb: 0.168 0.168 0.501
Tb: 0.317 0.898 0.000
Tb: 0.367 0.367 0.500
Tb: 0.633 0.633 0.500
Tb: 0.683 0.102 0.000
Tb: 0.832 0.832 0.499
Tb: 0.898 0.317 0.000
Pm: 0.258 0.258 0.001
Pm: 0.742 0.742 0.999
Nd: 0.208 0.792 0.500
Nd: 0.500 0.500 0.000
Nd: 0.792 0.208 0.500

Calculated values
For the energy above the lowest structure with this stoichiometry, the calculation gives 282 kJ/mol of formula units.

=====

Total moment values, unit μB per formula unit, following the record order: 0.0, 0.0.
DFT formation energy values, unit meV/atom, following the record order: -435, 241.
Volume values, unit Å³/f.u., following the record order: 225.9, 448.5.